## RbAcH2F6 (PBE-GGA)

Data for RbAcH2F6 after structural relaxation.

Cell and atoms, written as POSCAR:
```
RbAcH2F6
1.0
6.626 0.205 -0.560
-0.608 6.601 -0.560
-2.409 -2.724 7.043
F H Rb Ac
12 4 2 2
Direct
0.381 0.018 0.836 F
0.815 0.787 0.869 F
0.453 0.683 0.480 F
0.185 0.213 0.131 F
0.317 0.547 0.020 F
0.619 0.982 0.164 F
0.213 0.185 0.631 F
0.982 0.619 0.664 F
0.683 0.453 0.980 F
0.787 0.815 0.369 F
0.018 0.381 0.336 F
0.547 0.317 0.520 F
0.099 0.300 0.232 H
0.700 0.901 0.268 H
0.300 0.099 0.732 H
0.901 0.700 0.768 H
0.853 0.147 0.750 Rb
0.147 0.853 0.250 Rb
0.410 0.590 0.750 Ac
0.590 0.410 0.250 Ac
```

DFT total energy   -104.4 eV per cell